{"formula": "CsLi3Bi", "functional": "PBE", "state": "relaxed", "crystal_system": "cubic", "e_above_lowest_polymorph_mev_per_atom": 0.0, "formation_enthalpy_0k_ev_per_atom": -0.2449, "sg": "No. 221", "lattice_angstrom": [[-0.8482, 4.6891, 2.9021], [-5.5136, -0.6680, -0.5320], [-0.0997, -2.9488, 4.7354]], "species": ["Bi", "Li", "Cs", "Li", "Li"], "frac_coords": [[0.0000, 0.0000, 0.0000], [0.5000, 0.0000, 0.0000], [0.5000, 0.5000, 0.5000], [0.0000, 0.0000, 0.5000], [0.0000, 0.5000, 0.0000]]}